Sr2TlCl | SCAN | PBEsol geometry

a = 3.7343 Å, b = 3.7343 Å, c = 8.5878 Å
α = 90.00°, β = 90.00°, γ = 90.00°
Last column: nearest neighbours and their distance in Å.
Element x y z (fractional)
Sr1 0.0000 0.0000 0.7535  4 Tl 3.38, 4 Cl 3.42, 4 Sr 3.73
Sr2 0.0000 0.0000 0.2465  4 Tl 3.38, 4 Cl 3.42, 4 Sr 3.73
Cl1 0.5000 0.5000 0.5000  8 Sr 3.42, 4 Cl 3.73
Tl1 0.5000 0.5000 0.0000  8 Sr 3.38, 4 Tl 3.73

Values from the calculation:
- polymorph energy (0 for the lowest one) (meV/atom) = 109
- total moment (μB/f.u.) = 0.0
- formation energy without anion corrections (eV per atom) = -1.188
- V (A^3/atom) = 29.94
- mass density (g cm⁻³) = 5.76
- electronic total energy (eV/cell) = -129.6

---

AlTl2Cu | SCAN | PBEsol geometry

a = 3.3779 Å, b = 3.3779 Å, c = 8.6328 Å
α = 78.72°, β = 78.72°, γ = 60.00°
Last column: nearest neighbours and their distance in Å.
Element x y z (fractional)
Cu1 0.0000 0.0000 0.0000  6 Tl 2.74
Al1 0.5000 0.5000 0.5000  6 Tl 3.00
Tl1 0.2572 0.2572 0.2284  3 Cu 2.74, 3 Al 3.00
Tl2 0.7428 0.7428 0.7716  3 Cu 2.74, 3 Al 3.00

Values from the calculation:
- polymorph energy (0 for the lowest one) (meV/atom) = 0
- total moment (μB/f.u.) = 0.0
- V (A^3/atom) = 20.77
- mass density (g cm⁻³) = 9.98
- electronic total energy (eV/cell) = -166.4
- ΔE_f (eV/atom) = 0.313

---

ZrCdCl2 | SCAN | PBEsol geometry

a = 4.2653 Å, b = 4.3234 Å, c = 4.3234 Å
α = 90.00°, β = 90.00°, γ = 90.00°
Last column: nearest neighbours and their distance in Å.
Element x y z (fractional)
Cl1 0.0000 0.0000 0.5000  4 Zr 3.04, 4 Cd 3.04, 4 Cl 3.06
Cl2 0.0000 0.5000 0.0000  4 Zr 3.04, 4 Cd 3.04, 4 Cl 3.06
Cd1 0.5000 0.0000 0.0000  8 Cl 3.04, 4 Zr 3.06
Zr1 0.5000 0.5000 0.5000  8 Cl 3.04, 4 Cd 3.06

Values from the calculation:
- polymorph energy (0 for the lowest one) (meV/atom) = 273
- total moment (μB/f.u.) = 0.3
- formation energy without anion corrections (eV per atom) = -0.391
- V (A^3/atom) = 19.93
- mass density (g cm⁻³) = 5.72
- electronic total energy (eV/cell) = -78.6

---

SmErFe4 | SCAN | PBEsol geometry

a = 5.0342 Å, b = 5.0342 Å, c = 5.0342 Å
α = 60.00°, β = 60.00°, γ = 60.00°
Last column: nearest neighbours and their distance in Å.
Element x y z (fractional)
Sm1 0.0000 0.0000 0.0000  12 Fe 2.95, 4 Er 3.08
Fe1 0.8743 0.3752 0.3752  6 Fe 2.51-2.52
Fe2 0.3752 0.3752 0.3752  6 Fe 2.51-2.52
Fe3 0.3752 0.3752 0.8743  6 Fe 2.51-2.52
Fe4 0.3752 0.8743 0.3752  6 Fe 2.51-2.52
Er1 0.7500 0.7500 0.7500  12 Fe 2.95, 4 Sm 3.08

Values from the calculation:
- total moment (μB/f.u.) = 7.9
- V (A^3/atom) = 15.04
- mass density (g cm⁻³) = 9.96
- electronic total energy (eV/cell) = -167.3
- ΔE_f (eV/atom) = -0.007

---

CdSiN2 | SCAN | PBEsol geometry

a = 4.7779 Å, b = 5.3298 Å, c = 4.7779 Å
α = 116.63°, β = 90.00°, γ = 116.63°
Last column: nearest neighbours and their distance in Å.
Element x y z (fractional)
N1 0.7846 0.2500 0.8750  2 Si 1.75
N2 0.4654 0.2500 0.3750  2 Si 1.75
N3 0.6250 0.7500 0.2154  2 Si 1.75
N4 0.1250 0.7500 0.5346  2 Si 1.75
Cd1 0.2500 0.5000 0.7500  4 N 2.27
Cd2 0.0000 0.0000 0.0000  4 N 2.27
Si1 0.5000 0.0000 0.5000  4 N 1.75
Si2 0.7500 0.5000 0.2500  4 N 1.75

Values from the calculation:
- total moment (μB/f.u.) = 0.0
- formation energy without anion corrections (eV per atom) = -0.748
- V (A^3/atom) = 11.76
- mass density (g cm⁻³) = 5.95
- electronic total energy (eV/cell) = -124.0

---

K2HoPWO8 | SCAN | PBEsol geometry

a = 6.8516 Å, b = 12.0422 Å, c = 12.0422 Å
α = 60.05°, β = 73.47°, γ = 73.47°
Last column: nearest neighbours and their distance in Å.
Element x y z (fractional)
Ho1 0.7500 0.1765 0.8235  8 O 2.25-2.41
Ho2 0.2500 0.8235 0.1765  8 O 2.25-2.41
Ho3 0.2500 0.3235 0.6765  8 O 2.25-2.41
Ho4 0.7500 0.6765 0.3235  8 O 2.25-2.41
O1 0.8271 0.9467 0.9291  1 P 1.54
O2 0.6729 0.0709 0.0533  1 P 1.54
O3 0.2669 0.4172 0.1525  1 W 1.78
O4 0.1729 0.8895 0.3360  1 W 1.81
O5 0.0818 0.1435 0.8431  1 P 1.56
O6 0.9316 0.3431 0.6435  1 P 1.56
O7 0.2028 0.5533 0.5709  1 P 1.54
O8 0.3271 0.6640 0.1105  1 W 1.81
O9 0.0684 0.6569 0.3565  1 P 1.56
O10 0.2972 0.4291 0.4467  1 P 1.54
O11 0.1729 0.0533 0.0709  1 P 1.54
O12 0.2331 0.8475 0.5828  1 W 1.78
O13 0.4316 0.6435 0.3431  1 P 1.56
O14 0.7028 0.5709 0.5533  1 P 1.54
O15 0.8271 0.1105 0.6640  1 W 1.81
O16 0.8984 0.6105 0.1640  1 W 1.81
O17 0.3367 0.0828 0.3475  1 W 1.78
O18 0.9182 0.8565 0.1569  1 P 1.56
O19 0.7331 0.5828 0.8475  1 W 1.78
O20 0.5818 0.8431 0.1435  1 P 1.56
O21 0.6729 0.3360 0.8895  1 W 1.81
O22 0.7669 0.1525 0.4172  1 W 1.78
O23 0.3271 0.9291 0.9467  1 P 1.54
O24 0.3984 0.1640 0.6105  1 W 1.81
O25 0.6016 0.8360 0.3895  1 W 1.81
O26 0.1633 0.6525 0.9172  1 W 1.78
O27 0.8367 0.3475 0.0828  1 W 1.78
O28 0.5684 0.3565 0.6569  1 P 1.56
O29 0.7972 0.4467 0.4291  1 P 1.54
O30 0.4182 0.1569 0.8565  1 P 1.56
O31 0.1016 0.3895 0.8360  1 W 1.81
O32 0.6633 0.9172 0.6525  1 W 1.78
K1 0.6856 0.7636 0.9238  5 O 2.67-2.89
K2 0.1856 0.9238 0.7636  5 O 2.67-2.89
K3 0.6270 0.4238 0.2636  5 O 2.67-2.89
K4 0.3730 0.5762 0.7364  5 O 2.67-2.89
K5 0.1270 0.2636 0.4238  5 O 2.67-2.89
K6 0.8144 0.0762 0.2364  5 O 2.67-2.89
K7 0.8730 0.7364 0.5762  5 O 2.67-2.89
K8 0.3144 0.2364 0.0762  5 O 2.67-2.89
W1 0.8363 0.4137 0.9137  4 O 1.78-1.81
W2 0.1637 0.5863 0.0863  4 O 1.78-1.81
W3 0.3363 0.9137 0.4137  4 O 1.78-1.81
W4 0.6637 0.0863 0.5863  4 O 1.78-1.81
P1 0.7500 0.9320 0.0680  4 O 1.54-1.56
P2 0.2500 0.5680 0.4320  4 O 1.54-1.56
P3 0.7500 0.4320 0.5680  4 O 1.54-1.56
P4 0.2500 0.0680 0.9320  4 O 1.54-1.56

Values from the calculation:
- total moment (μB/f.u.) = 0.0
- formation energy without anion corrections (eV per atom) = -2.838
- V (A^3/atom) = 15.64
- mass density (g cm⁻³) = 4.79
- electronic total energy (eV/cell) = -929.9

---

LaFeNi4 | SCAN | PBEsol geometry

a = 3.9166 Å, b = 4.9467 Å, c = 4.9467 Å
α = 120.00°, β = 90.00°, γ = 90.00°
Last column: nearest neighbours and their distance in Å.
Element x y z (fractional)
Fe1 0.0000 0.0000 0.0000  6 Ni 2.42
Ni1 0.5000 0.3337 0.1668  6 Ni 2.42-2.48, 2 Fe 2.42
Ni2 0.5000 0.8332 0.6663  6 Ni 2.42-2.48, 2 Fe 2.42
Ni3 0.0000 0.6667 0.3333  6 Ni 2.42
Ni4 0.5000 0.8332 0.1668  6 Ni 2.42-2.48, 2 Fe 2.42
La1 0.0000 0.3333 0.6667  15 Ni 2.86-3.15, 3 Fe 2.86

Values from the calculation:
- total moment (μB/f.u.) = 4.2
- V (A^3/atom) = 13.83
- mass density (g cm⁻³) = 8.59
- electronic total energy (eV/cell) = -127.1
- ΔE_f (eV/atom) = -0.195

---

YNb3Se | SCAN | PBEsol geometry

a = 4.7902 Å, b = 4.7902 Å, c = 4.7902 Å
α = 90.00°, β = 90.00°, γ = 90.00°
Last column: nearest neighbours and their distance in Å.
Element x y z (fractional)
Y1 0.5000 0.5000 0.5000  12 Nb 3.39
Nb1 0.0000 0.0000 0.5000  2 Se 2.40
Nb2 0.5000 0.0000 0.0000  2 Se 2.40
Nb3 0.0000 0.5000 0.0000  2 Se 2.40
Se1 0.0000 0.0000 0.0000  6 Nb 2.40

Values from the calculation:
- total moment (μB/f.u.) = 0.0
- formation energy without anion corrections (eV per atom) = 0.279
- V (A^3/atom) = 21.98
- mass density (g cm⁻³) = 6.75
- electronic total energy (eV/cell) = -145.9

---

What is the V in the seventh record?
13.83 A^3/atom

---

Which of these has the highest mass density?
AlTl2Cu

---

The lowest electronic total energy belongs to which entry?
K2HoPWO8